Record 1
Crystalline Sm12MgRu6 at its relaxed geometry, computed with PBE.

Unit cell a=8.726 b=8.726 c=8.726 alpha=109.47 beta=109.47 gamma=109.47
Fractional coordinates of all 19 atoms:
Ru: 0.878 0.378 0.500
Ru: 0.500 0.878 0.378
Ru: 0.122 0.622 0.500
Ru: 0.378 0.500 0.878
Ru: 0.500 0.122 0.622
Ru: 0.622 0.500 0.122
Sm: 0.503 0.802 0.701
Sm: 0.899 0.198 0.701
Sm: 0.198 0.299 0.497
Sm: 0.299 0.101 0.802
Sm: 0.701 0.899 0.198
Sm: 0.497 0.198 0.299
Sm: 0.198 0.701 0.899
Sm: 0.101 0.802 0.299
Sm: 0.299 0.497 0.198
Sm: 0.802 0.299 0.101
Sm: 0.701 0.503 0.802
Sm: 0.802 0.701 0.503
Mg: 0.000 0.000 0.000

Properties
N(E_F)   16.51 states/eV per cell
Theoretical density   7.91 g/cm³
Volume   511 Å³/cell
ΔE_f   -0.18 eV/atom



Record 2
Crystalline Sm3Mg5Ru2 at its relaxed geometry, computed with PBE.

Unit cell a=6.260 b=9.509 c=9.509 alpha=67.01 beta=70.78 gamma=70.78
Fractional coordinates of all 20 atoms:
Mg: 0.053 0.697 0.697
Mg: 0.750 0.500 0.500
Mg: 0.447 0.303 0.303
Mg: 0.947 0.303 0.303
Mg: 0.075 0.646 0.205
Mg: 0.553 0.697 0.697
Mg: 0.425 0.795 0.354
Mg: 0.575 0.205 0.646
Mg: 0.250 0.500 0.500
Mg: 0.925 0.354 0.795
Ru: 0.339 0.101 0.220
Ru: 0.161 0.780 0.899
Ru: 0.839 0.220 0.101
Ru: 0.661 0.899 0.780
Sm: 0.325 0.388 0.962
Sm: 0.825 0.962 0.388
Sm: 0.175 0.038 0.612
Sm: 0.750 0.000 0.000
Sm: 0.250 0.000 0.000
Sm: 0.675 0.612 0.038

Properties
N(E_F)   16.53 states/eV per cell
Theoretical density   5.37 g/cm³
Volume   479 Å³/cell
ΔE_f   -0.06 eV/atom



Record 3
Crystalline Sm8Mg2Ru at its relaxed geometry, computed with PBE.

Unit cell a=5.649 b=7.112 c=9.247 alpha=109.51 beta=107.78 gamma=90.00
Fractional coordinates of all 11 atoms:
Ru: 0.500 0.000 0.000
Sm: 0.601 0.401 0.202
Sm: 0.192 0.243 0.385
Sm: 0.014 0.778 0.029
Sm: 0.808 0.757 0.615
Sm: 0.399 0.599 0.798
Sm: 0.986 0.222 0.971
Sm: 0.357 0.080 0.714
Sm: 0.643 0.920 0.286
Mg: 0.186 0.692 0.373
Mg: 0.814 0.308 0.627

Properties
N(E_F)   12.47 states/eV per cell
Theoretical density   6.78 g/cm³
Volume   331 Å³/cell
ΔE_f   -0.05 eV/atom